TaInS2, relaxed, DFT PBE-GGA; formation energy (no corrections) = -0.25 eV per atom; uncorrected energy = -5.964 eV/atom; space-group type = I-42d, No. 122
1.0
6.560 0.000 0.000
0.000 6.560 0.000
0.000 0.000 10.950
Ta In S
4 4 8
direct
0.000 0.000 0.000
0.000 0.500 0.250
0.500 0.000 0.750
0.500 0.500 0.500
0.000 0.000 0.500
0.000 0.500 0.750
0.500 0.000 0.250
0.500 0.500 0.000
0.142 0.250 0.125
0.250 0.642 0.375
0.250 0.858 0.875
0.358 0.250 0.625
0.642 0.750 0.625
0.750 0.142 0.875
0.750 0.358 0.375
0.858 0.750 0.125